# 1
{
  "formula": "PmSi3Ni",
  "functional": "GGA-PBE",
  "state": "optimized geometry",
  "magnetic_moment_mub_per_fu": 0.00,
  "dos_at_fermi_per_ev_cell": 2.612,
  "raw_formation_energy_ev_per_atom": -0.62,
  "sg": "I4mm (107)",
  "relative_energy_kj_per_mol_fu": 24,
  "lattice": [[4.1843, 0.0000, 0.0000], [0.0000, 4.1843, 0.0000], [-2.0922, -2.0922, 4.7091]],
  "species": ["Si", "Si", "Si", "Ni", "Pm"],
  "frac_coords": [[0.4114, 0.4114, 0.8228], [0.7606, 0.2606, 0.5213], [0.2606, 0.7606, 0.5213], [0.6545, 0.6545, 0.3090], [0.0031, 0.0031, 0.0062]]
}

***

# 2
{
  "formula": "La3PdAu2",
  "functional": "GGA-PBE",
  "state": "optimized geometry",
  "formation_enthalpy_0k_mev_per_atom": -766,
  "magnetic_moment_mub_per_fu": 0.00,
  "dos_at_fermi_per_ev_cell": 11.517,
  "sg": "Cmmm (65)",
  "lattice": [[5.2946, 0.0000, 0.0213], [2.6473, 7.9462, 0.0107], [-0.0301, 0.0000, 7.5056]],
  "species": ["Au", "Au", "Au", "Au", "La", "La", "La", "La", "La", "La", "Pd", "Pd"],
  "frac_coords": [[0.6661, 0.6679, 0.5000], [0.3339, 0.3321, 0.5000], [0.0000, 0.0000, 0.0000], [0.0000, 0.0000, 0.5000], [0.1698, 0.6603, 0.7570], [0.8301, 0.3397, 0.7570], [0.4999, 0.0000, 0.7520], [0.1699, 0.6603, 0.2430], [0.8302, 0.3397, 0.2430], [0.5001, 0.0000, 0.2480], [0.3412, 0.3176, 0.0000], [0.6588, 0.6824, 0.0000]]
}